The following is a PBE calculation of crystalline CuNi2HgRu at its relaxed geometry, from Alexandria.

As for the formation energy: 839 kJ/mol of formula units.

It has space group P4/mmm (No. 123), with a = 4.6904 Å, b = 4.6904 Å, c = 4.6509 Å, α = 90.00°, β = 90.00° and γ = 90.00°. The asymmetric unit holds Cu at (0.0000, 0.0000, 0.0000), Ni at (0.0000, 0.5000, 0.5000), Hg at (0.0000, 0.0000, 0.5000) and Ru at (0.5000, 0.5000, 0.0000).

The following is a PBE calculation of crystalline AsOsSe2Br at its relaxed geometry, from Alexandria.

For the energy above the most stable polymorph in this dataset, the calculation gives 1483 meV/atom. As for the formation energy from raw total energies: 2.044 eV per atom.

It has space group P4/mmm (No. 123), with a = 5.0050 Å, b = 5.0050 Å, c = 5.1135 Å, α = 90.00°, β = 90.00° and γ = 90.00°. The asymmetric unit holds As at (0.0000, 0.0000, 0.0000), Os at (0.5000, 0.5000, 0.0000), Se at (0.0000, 0.5000, 0.5000) and Br at (0.0000, 0.0000, 0.5000).

The following is a PBE calculation of crystalline Rb3NdTh2S6 at its relaxed geometry, from Alexandria.

As for the formation energy from raw total energies: -1.712 eV per atom.

It has space group C2/m (No. 12), with a = 7.2112 Å, b = 12.4885 Å, c = 8.1464 Å, α = 90.00°, β = 107.16° and γ = 90.00°. The asymmetric unit holds Rb at (0.0000, 0.0000, 0.0000), Rb at (0.0000, 0.3351, 0.0000), Nd at (0.0000, 0.5000, 0.5000), Th at (0.0000, 0.1668, 0.5000), S at (0.2263, 0.0000, 0.7010) and S at (0.2376, 0.3297, 0.7014).

no.,total energy (eV/cell)
1,-16.5
2,-14.3
3,-135.6